Entry from Alexandria: TlPOs2 after structural relaxation (PBE).

a = 2.992 Å, b = 4.390 Å, c = 5.066 Å
α = 90.00°, β = 90.00°, γ = 90.00°
Sites, in units of the cell vectors:
Tl  0.000  0.500  0.500
P  0.500  0.500  0.000
Os  0.000  0.000  0.000
Os  0.500  0.000  0.500

Properties
Excess energy over the best structure of this formula in the dataset: 727 meV per atom
Total magnetic moment: 0.00 μB/cell
E: -6.439 eV per atom
DOS(E_F): 1.325 states/eV/atom
Formation energy from the elements: 4.48 eV per formula unit

---

Entry from Alexandria: DyTc2 after structural relaxation (PBE).

a = 5.401 Å, b = 5.401 Å, c = 8.801 Å
α = 90.00°, β = 90.00°, γ = 120.00°
Sites, in units of the cell vectors:
Dy  0.333  0.667  0.438
Dy  0.667  0.333  0.562
Dy  0.667  0.333  0.938
Dy  0.333  0.667  0.062
Tc  0.000  0.000  0.500
Tc  0.000  0.000  0.000
Tc  0.829  0.171  0.250
Tc  0.829  0.657  0.250
Tc  0.343  0.171  0.250
Tc  0.171  0.829  0.750
Tc  0.171  0.343  0.750
Tc  0.657  0.829  0.750

Properties
Excess energy over the best structure of this formula in the dataset: 0 meV per atom
Total magnetic moment: 0.00 μB/cell
E: -8.627 eV per atom
DOS(E_F): 0.967 states/eV/atom
Formation energy from the elements: -0.55 eV per formula unit

---

Entry from Alexandria: RbSr2Ge after structural relaxation (PBE).

a = 10.214 Å, b = 10.214 Å, c = 8.198 Å
α = 51.47°, β = 51.47°, γ = 90.00°
Sites, in units of the cell vectors:
Sr  0.517  0.125  0.250
Sr  0.233  0.625  0.250
Sr  0.375  0.483  0.750
Sr  0.875  0.767  0.750
Ge  0.500  0.500  0.000
Ge  0.250  0.750  0.500
Rb  0.000  0.000  0.000
Rb  0.750  0.250  0.500

Properties
Total magnetic moment: 0.00 μB/cell
E: -2.279 eV per atom
DOS(E_F): 0.615 states/eV/atom
Formation energy from the elements: -0.17 eV per formula unit

---

Entry from Alexandria: Ho4CdPd2 after structural relaxation (PBE).

a = 4.956 Å, b = 4.956 Å, c = 7.168 Å
α = 90.00°, β = 90.00°, γ = 90.00°
Sites, in units of the cell vectors:
Ho  0.500  0.000  0.260
Ho  0.000  0.500  0.740
Ho  0.500  0.000  0.740
Ho  0.000  0.500  0.260
Cd  0.500  0.500  0.000
Pd  0.000  0.000  0.000
Pd  0.500  0.500  0.500

Properties
Excess energy over the best structure of this formula in the dataset: 0 meV per atom
Total magnetic moment: 0.00 μB/cell
E: -4.740 eV per atom
DOS(E_F): 0.779 states/eV/atom
Formation energy from the elements: -3.57 eV per formula unit

---

Entry from Alexandria: PPd3Pb after structural relaxation (PBE).

a = 4.596 Å, b = 4.596 Å, c = 4.596 Å
α = 90.00°, β = 90.00°, γ = 90.00°
Sites, in units of the cell vectors:
Pb  0.500  0.500  0.500
P  0.000  0.000  0.000
Pd  0.000  0.500  0.000
Pd  0.000  0.000  0.500
Pd  0.500  0.000  0.000

Properties
Excess energy over the best structure of this formula in the dataset: 55 meV per atom
Total magnetic moment: 0.00 μB/cell
E: -5.249 eV per atom
DOS(E_F): 0.372 states/eV/atom
Formation energy from the elements: -1.55 eV per formula unit

---

Entry from Alexandria: LiDyYRh after structural relaxation (PBE).

a = 4.940 Å, b = 4.940 Å, c = 4.940 Å
α = 60.00°, β = 60.00°, γ = 60.00°
Sites, in units of the cell vectors:
Y  0.750  0.750  0.750
Li  0.000  0.000  0.000
Rh  0.500  0.500  0.500
Dy  0.250  0.250  0.250

Properties
Total magnetic moment: 0.00 μB/cell
E: -5.562 eV per atom
DOS(E_F): 0.696 states/eV/atom
Formation energy from the elements: -1.92 eV per formula unit

---

Entry from Alexandria: Fe3SbRu after structural relaxation (PBE).

a = 4.597 Å, b = 4.597 Å, c = 4.597 Å
α = 90.00°, β = 90.00°, γ = 90.00°
Last column: magnetic moment on the atom in μB.
Sites, in units of the cell vectors:
Sb  0.500  0.500  0.500  -0.06
Fe  0.000  0.500  0.000  2.97
Fe  0.000  0.000  0.500  3.29
Fe  0.500  0.000  0.000  2.52
Ru  0.000  0.000  0.000  0.47

Properties
Excess energy over the best structure of this formula in the dataset: 0 meV per atom
E_form (uncorrected): 1.18 eV per atom
Total magnetic moment: 9.34 μB/cell
E: -6.579 eV per atom
DOS(E_F): 1.113 states/eV/atom

---

Entry from Alexandria: NaTcNi after structural relaxation (PBE).

a = 3.622 Å, b = 5.813 Å, c = 5.330 Å
α = 76.24°, β = 90.01°, γ = 108.14°
Sites, in units of the cell vectors:
Na  0.927  0.243  0.059
Na  0.917  0.223  0.583
Tc  0.628  0.646  0.223
Tc  0.215  0.820  0.418
Ni  0.214  0.817  0.916
Ni  0.630  0.649  0.725

Properties
Excess energy over the best structure of this formula in the dataset: 190 meV per atom
Total magnetic moment: 0.00 μB/cell
E: -5.391 eV per atom
DOS(E_F): 0.609 states/eV/atom
Formation energy from the elements: 1.29 eV per formula unit

---

Entry from Alexandria: ZrNb2Re2 after structural relaxation (PBE).

a = 7.660 Å, b = 7.660 Å, c = 3.128 Å
α = 90.00°, β = 90.00°, γ = 90.00°
Sites, in units of the cell vectors:
Re  0.356  0.856  0.000
Re  0.856  0.644  0.000
Re  0.644  0.144  0.000
Re  0.144  0.356  0.000
Nb  0.152  0.652  0.500
Nb  0.652  0.848  0.500
Nb  0.848  0.348  0.500
Nb  0.348  0.152  0.500
Zr  0.000  0.000  0.000
Zr  0.500  0.500  0.000

Properties
Excess energy over the best structure of this formula in the dataset: 393 meV per atom
Total magnetic moment: 0.00 μB/cell
E: -10.561 eV per atom
DOS(E_F): 1.557 states/eV/atom
Formation energy from the elements: 0.78 eV per formula unit

---

Entry from Alexandria: NaNb2Br6 after structural relaxation (PBE).

a = 6.677 Å, b = 9.659 Å, c = 9.659 Å
α = 62.96°, β = 78.38°, γ = 78.38°
Last column: magnetic moment on the atom in μB.
Sites, in units of the cell vectors:
Na  0.250  0.120  0.880  0.00
Na  0.750  0.880  0.120  0.00
Nb  0.247  0.713  0.776  1.15
Nb  0.253  0.224  0.287  1.15
Nb  0.753  0.287  0.224  1.15
Nb  0.747  0.776  0.713  1.15
Br  0.570  0.622  0.617  0.00
Br  0.930  0.383  0.378  0.00
Br  0.430  0.378  0.383  0.00
Br  0.070  0.617  0.622  0.00
Br  0.779  0.985  0.411  0.00
Br  0.721  0.589  0.015  0.00
Br  0.221  0.015  0.589  0.00
Br  0.279  0.411  0.985  0.00
Br  0.171  0.788  0.010  0.01
Br  0.329  0.990  0.212  0.01
Br  0.829  0.212  0.990  0.01
Br  0.671  0.010  0.788  0.01

Properties
Excess energy over the best structure of this formula in the dataset: 277 meV per atom
E_form (uncorrected): -0.72 eV per atom
Total magnetic moment: 5.76 μB/cell
E: -4.221 eV per atom
DOS(E_F): 0.726 states/eV/atom

---

Entry from Alexandria: RbMgUBr6 after structural relaxation (PBE).

a = 7.355 Å, b = 7.355 Å, c = 15.182 Å
α = 90.00°, β = 90.00°, γ = 120.00°
Last column: magnetic moment on the atom in μB.
Sites, in units of the cell vectors:
Rb  0.000  0.000  0.000  0.00
Rb  0.000  0.000  0.500  0.00
Mg  0.667  0.333  0.250  0.00
Mg  0.333  0.667  0.750  0.00
U  0.333  0.667  0.250  2.92
U  0.667  0.333  0.750  2.92
Br  0.637  0.616  0.144  -0.01
Br  0.979  0.363  0.144  -0.01
Br  0.363  0.979  0.644  -0.01
Br  0.021  0.637  0.856  -0.01
Br  0.384  0.363  0.356  -0.01
Br  0.979  0.616  0.356  -0.01
Br  0.616  0.979  0.856  -0.01
Br  0.637  0.021  0.356  -0.01
Br  0.021  0.384  0.644  -0.01
Br  0.384  0.021  0.144  -0.01
Br  0.616  0.637  0.644  -0.01
Br  0.363  0.384  0.856  -0.01

Properties
E_form (uncorrected): -1.46 eV per atom
Total magnetic moment: 6.00 μB/cell
E: -4.112 eV per atom
DOS(E_F): 0.009 states/eV/atom

---

Entry from Alexandria: In2GeBr8 after structural relaxation (PBE).

a = 9.275 Å, b = 10.899 Å, c = 11.072 Å
α = 74.07°, β = 65.24°, γ = 64.82°
Sites, in units of the cell vectors:
Ge  0.992  0.750  0.250
Ge  0.008  0.250  0.750
Br  0.356  0.763  0.546
Br  0.143  0.951  0.234
Br  0.717  0.951  0.190
Br  0.191  0.202  0.476
Br  0.283  0.049  0.810
Br  0.870  0.298  0.024
Br  0.809  0.798  0.524
Br  0.141  0.451  0.690
Br  0.130  0.702  0.976
Br  0.665  0.737  0.954
Br  0.673  0.451  0.734
Br  0.327  0.549  0.266
Br  0.335  0.263  0.046
Br  0.859  0.549  0.310
Br  0.644  0.237  0.454
Br  0.857  0.049  0.766
In  0.835  0.859  0.960
In  0.346  0.359  0.460
In  0.654  0.641  0.540
In  0.165  0.141  0.040

Properties
E_form (uncorrected): -0.72 eV per atom
Total magnetic moment: 0.00 μB/cell
E: -2.857 eV per atom
DOS(E_F): 0.000 states/eV/atom

---

Entry from Alexandria: Ba2ThBe2As4 after structural relaxation (PBE).

a = 4.169 Å, b = 7.738 Å, c = 8.013 Å
α = 110.19°, β = 105.08°, γ = 90.00°
Sites, in units of the cell vectors:
Ba  0.137  0.580  0.274
Ba  0.863  0.420  0.726
Th  0.000  0.000  0.000
Be  0.673  0.976  0.346
Be  0.327  0.024  0.654
As  0.206  0.153  0.412
As  0.794  0.847  0.588
As  0.523  0.752  0.047
As  0.477  0.248  0.953

Properties
Total magnetic moment: 0.00 μB/cell
E: -5.038 eV per atom
DOS(E_F): 0.039 states/eV/atom
Formation energy from the elements: -8.03 eV per formula unit

---

Entry from Alexandria: CePmHoPa after structural relaxation (PBE).

a = 5.551 Å, b = 5.551 Å, c = 5.551 Å
α = 60.00°, β = 60.00°, γ = 60.00°
Last column: magnetic moment on the atom in μB.
Sites, in units of the cell vectors:
Pa  0.000  0.000  0.000  1.39
Ho  0.500  0.500  0.500  0.36
Ce  0.250  0.250  0.250  1.02
Pm  0.750  0.750  0.750  0.25

Properties
Total magnetic moment: 4.17 μB/cell
E: -5.801 eV per atom
DOS(E_F): 3.241 states/eV/atom
Formation energy from the elements: 1.55 eV per formula unit

---

Entry from Alexandria: Er2Ga2CuPt5 after structural relaxation (PBE).

a = 3.708 Å, b = 9.668 Å, c = 9.668 Å
α = 90.00°, β = 90.00°, γ = 90.00°
Sites, in units of the cell vectors:
Er  0.000  0.675  0.175
Er  0.000  0.325  0.825
Er  0.000  0.175  0.325
Er  0.000  0.825  0.675
Ga  0.000  0.126  0.626
Ga  0.000  0.874  0.374
Ga  0.000  0.626  0.874
Ga  0.000  0.374  0.126
Cu  0.000  0.000  0.000
Cu  0.000  0.500  0.500
Pt  0.500  0.200  0.061
Pt  0.500  0.800  0.939
Pt  0.500  0.061  0.800
Pt  0.500  0.700  0.439
Pt  0.500  0.939  0.200
Pt  0.500  0.300  0.561
Pt  0.500  0.561  0.700
Pt  0.500  0.439  0.300
Pt  0.500  0.500  0.000
Pt  0.500  0.000  0.500

Properties
Total magnetic moment: 0.00 μB/cell
E: -5.750 eV per atom
DOS(E_F): 0.423 states/eV/atom
Formation energy from the elements: -8.02 eV per formula unit

---

Entry from Alexandria: AsRu4Pb after structural relaxation (PBE).

a = 5.238 Å, b = 5.238 Å, c = 5.238 Å
α = 60.00°, β = 60.00°, γ = 60.00°
Sites, in units of the cell vectors:
As  0.750  0.750  0.750
Ru  0.873  0.376  0.376
Ru  0.376  0.376  0.873
Ru  0.376  0.873  0.376
Ru  0.376  0.376  0.376
Pb  0.000  0.000  0.000

Properties
Total magnetic moment: 0.01 μB/cell
E: -6.930 eV per atom
DOS(E_F): 1.576 states/eV/atom
Formation energy from the elements: 3.88 eV per formula unit

---

Entry from Alexandria: Cs2CF after structural relaxation (PBE).

a = 5.488 Å, b = 5.488 Å, c = 5.488 Å
α = 60.00°, β = 60.00°, γ = 60.00°
Last column: magnetic moment on the atom in μB.
Sites, in units of the cell vectors:
Cs  0.250  0.250  0.250  0.06
Cs  0.750  0.750  0.750  0.06
C  0.000  0.000  0.000  1.20
F  0.500  0.500  0.500  0.03

Properties
Excess energy over the best structure of this formula in the dataset: 55 meV per atom
E_form (uncorrected): -0.09 eV per atom
Total magnetic moment: 3.00 μB/cell
E: -3.292 eV per atom
DOS(E_F): 0.000 states/eV/atom

---

Entry from Alexandria: ZnMoIN2 after structural relaxation (PBE).

a = 3.959 Å, b = 3.959 Å, c = 5.854 Å
α = 90.00°, β = 90.00°, γ = 90.00°
Sites, in units of the cell vectors:
I  0.000  0.000  0.500
Mo  0.000  0.000  0.000
Zn  0.500  0.500  0.500
N  0.000  0.500  0.000
N  0.500  0.000  0.000

Properties
Excess energy over the best structure of this formula in the dataset: 0 meV per atom
E_form (uncorrected): 0.59 eV per atom
Total magnetic moment: 0.00 μB/cell
E: -5.469 eV per atom
DOS(E_F): 0.516 states/eV/atom

---

Entry from Alexandria: MgIrW2 after structural relaxation (PBE).

a = 5.168 Å, b = 5.168 Å, c = 5.168 Å
α = 137.19°, β = 137.19°, γ = 62.14°
Sites, in units of the cell vectors:
Ir  0.250  0.750  0.500
Mg  0.750  0.250  0.500
W  0.000  0.000  0.000
W  0.500  0.500  0.000

Properties
Total magnetic moment: 0.00 μB/cell
E: -8.959 eV per atom
DOS(E_F): 0.763 states/eV/atom
Formation energy from the elements: 0.52 eV per formula unit

---

Entry from Alexandria: Na2MnGaSe4 after structural relaxation (PBE).

a = 6.994 Å, b = 6.994 Å, c = 6.485 Å
α = 122.61°, β = 122.61°, γ = 90.05°
Last column: magnetic moment on the atom in μB.
Sites, in units of the cell vectors:
Na  0.486  0.986  0.971  0.00
Na  0.235  0.235  0.471  0.01
Mn  0.736  0.736  0.472  3.60
Ga  0.986  0.486  0.972  0.03
Se  0.653  0.577  0.680  -0.01
Se  0.895  0.446  0.265  -0.01
Se  0.370  0.819  0.265  -0.01
Se  0.027  0.102  0.680  -0.01

Properties
E_form (uncorrected): -0.75 eV per atom
Total magnetic moment: 4.00 μB/cell
E: -4.343 eV per atom